Entry 1:
# ZrOs7

An optimized crystal structure of ZrOs7 (PBE, Alexandria via LeMat-Bulk).

Structure (POSCAR):
```
ZrOs7
1.0
4.852 -1.318 2.330
0.512 -0.012 5.518
0.556 -4.796 2.720
Zr Os
1 7
Direct
0.000 0.000 0.000
0.000 0.000 0.500
0.500 0.000 0.500
0.000 0.500 0.500
0.500 0.500 0.000
0.000 0.500 0.000
0.500 0.000 0.000
0.500 0.500 0.500
```

Properties
energy: -86.5 eV for the cell shown
space group: Fm-3m, No. 225
magnetic moment: 0.00 Bohr magnetons per cell

Entry 2:
# P

An optimized crystal structure of P (PBE, Alexandria via LeMat-Bulk).

Structure (POSCAR):
```
P
1.0
-0.654 -3.945 4.300
-0.979 1.386 -5.621
3.958 -1.924 -1.163
P
4
Direct
0.094 0.906 0.914
0.406 0.594 0.414
0.594 0.406 0.586
0.906 0.094 0.086
```

Properties
energy: -21.5 eV for the cell shown
space group: Cmce, No. 64
energy above the most stable polymorph in this dataset: 37 meV/atom
magnetic moment: 0.00 Bohr magnetons per cell

Entry 3:
# P

An optimized crystal structure of P (PBE, Alexandria via LeMat-Bulk).

Structure (POSCAR):
```
P
1.0
3.279 0.000 0.001
-1.640 2.840 0.000
-1.486 -0.887 5.788
P
2
Direct
0.398 0.200 0.607
0.602 0.800 0.393
```

Properties
energy: -10.7 eV for the cell shown
space group: P-1, No. 2
energy above the most stable polymorph in this dataset: 46 meV/atom
magnetic moment: 0.00 Bohr magnetons per cell

Entry 4:
# P

An optimized crystal structure of P (PBE, Alexandria via LeMat-Bulk).

Structure (POSCAR):
```
P
1.0
-1.565 -0.815 -2.742
3.396 -9.597 0.915
-7.259 -2.114 4.771
P
12
Direct
0.500 0.828 0.694
0.500 0.172 0.694
0.500 0.328 0.194
0.500 0.672 0.194
0.000 0.000 0.381
0.000 0.500 0.881
0.000 0.115 0.848
0.000 0.885 0.848
0.000 0.615 0.348
0.000 0.385 0.348
0.500 0.000 0.538
0.500 0.500 0.038
```

Properties
energy: -64.1 eV for the cell shown
space group: Amm2, No. 38
energy above the most stable polymorph in this dataset: 71 meV/atom
magnetic moment: 0.00 Bohr magnetons per cell

Entry 5:
# P

An optimized crystal structure of P (PBE, Alexandria via LeMat-Bulk).

Structure (POSCAR):
```
P
1.0
-1.144 1.144 4.194
1.144 -1.144 4.194
1.144 1.144 -4.194
P
1
Direct
0.000 0.000 0.000
```

Properties
energy: -4.9 eV for the cell shown
space group: I4/mmm, No. 139
energy above the most stable polymorph in this dataset: 544 meV/atom
magnetic moment: 0.00 Bohr magnetons per cell

Entry 6:
# P

An optimized crystal structure of P (PBE, Alexandria via LeMat-Bulk).

Structure (POSCAR):
```
P
1.0
0.000 2.751 2.751
2.751 0.000 2.751
2.751 2.751 0.000
P
2
Direct
0.500 0.500 0.500
0.750 0.750 0.750
```

Properties
energy: -9.6 eV for the cell shown
space group: Fd-3m, No. 227
energy above the most stable polymorph in this dataset: 617 meV/atom
magnetic moment: 0.00 Bohr magnetons per cell

Respective energy of formation from the pure elements values: 82; 37; 46; 71; 544; 617 meV per atom.